No. 1
# Ce2Te2Pd7Au | the Alexandria database | PBE | optimized geometry
data_Ce2Te2Pd7Au
_symmetry_space_group_name_H-M 'C 1 2/m 1'
_symmetry_Int_Tables_number 12
_cell_length_a 5.660
_cell_length_b 5.595
_cell_length_c 15.507
_cell_angle_alpha 90.00
_cell_angle_beta 95.09
_cell_angle_gamma 90.00
loop_
_symmetry_equiv_pos_as_xyz
'x,y,z'
'-x,-y,-z'
'-x,y,-z'
'x,-y,z'
'x+1/2,y+1/2,z'
'-x+1/2,-y+1/2,-z'
'-x+1/2,y+1/2,-z'
'x+1/2,-y+1/2,z'
loop_
_atom_site_label
_atom_site_type_symbol
_atom_site_fract_x
_atom_site_fract_y
_atom_site_fract_z
Ce1 Ce 0.066 0.000 0.266
Te1 Te 0.091 0.500 0.363
Pd1 Pd 0.000 0.000 0.000
Pd2 Pd 0.217 0.250 0.866
Pd3 Pd 0.230 0.000 0.473
Au1 Au 0.000 0.500 0.000
# energy relative to the elements, uncorrected: -0.47 eV/atom
# M_tot: 0.6 μB per formula unit
# DOS(E_F): 17.0 states/eV per cell
# E: -126.95 eV/cell

No. 2
# CeYPdAu | the Alexandria database | PBE | optimized geometry
data_CeYPdAu
_symmetry_space_group_name_H-M 'F -4 3 m'
_symmetry_Int_Tables_number 216
_symmetry_space_group_name_Hall 'F -4 2 3'
_cell_length_a 7.220
_cell_length_b 7.220
_cell_length_c 7.220
_cell_angle_alpha 90.00
_cell_angle_beta 90.00
_cell_angle_gamma 90.00
loop_
_atom_site_label
_atom_site_type_symbol
_atom_site_fract_x
_atom_site_fract_y
_atom_site_fract_z
Ce1 Ce 0.000 0.000 0.000
Y1 Y 0.000 0.000 0.500
Pd1 Pd 0.250 0.250 0.250
Au1 Au 0.250 0.250 0.750
# M_tot: 0.9 μB per formula unit
# DOS(E_F): 32.4 states/eV per cell
# calculated formation energy: -707 meV/atom
# E: -94.78 eV/cell

No. 3
# Ce2Zn2Pd5Au | the Alexandria database | PBE | optimized geometry
data_Ce2Zn2Pd5Au
_symmetry_space_group_name_H-M 'P 4/m b m'
_symmetry_Int_Tables_number 127
_symmetry_space_group_name_Hall '-P 4 2ab'
_cell_length_a 9.731
_cell_length_b 9.731
_cell_length_c 3.878
_cell_angle_alpha 90.00
_cell_angle_beta 90.00
_cell_angle_gamma 90.00
loop_
_atom_site_label
_atom_site_type_symbol
_atom_site_fract_x
_atom_site_fract_y
_atom_site_fract_z
Ce1 Ce 0.181 0.319 0.000
Zn1 Zn 0.116 0.616 0.000
Pd1 Pd 0.000 0.500 0.500
Pd2 Pd 0.067 0.794 0.500
Au1 Au 0.000 0.000 0.000
# M_tot: 1.5 μB per formula unit
# DOS(E_F): 27.3 states/eV per cell
# calculated formation energy: -557 meV/atom
# E: -98.45 eV/cell

No. 4
# CeZn2Pd2Au | the Alexandria database | PBE | optimized geometry
data_CeZn2Pd2Au
_symmetry_space_group_name_H-M 'P 4/m m m'
_symmetry_Int_Tables_number 123
_symmetry_space_group_name_Hall '-P 4 2'
_cell_length_a 4.773
_cell_length_b 4.773
_cell_length_c 5.648
_cell_angle_alpha 90.00
_cell_angle_beta 90.00
_cell_angle_gamma 90.00
loop_
_atom_site_label
_atom_site_type_symbol
_atom_site_fract_x
_atom_site_fract_y
_atom_site_fract_z
Ce1 Ce 0.000 0.000 0.000
Zn1 Zn 0.000 0.500 0.500
Pd1 Pd 0.500 0.500 0.246
Au1 Au 0.000 0.000 0.500
# M_tot: 1.0 μB per formula unit
# DOS(E_F): 9.2 states/eV per cell
# calculated formation energy: -176 meV/atom
# E: -23.20 eV/cell

No. 5
# CeZnPdAu | the Alexandria database | PBE | optimized geometry
data_CeZnPdAu
_symmetry_space_group_name_H-M 'F -4 3 m'
_symmetry_Int_Tables_number 216
_symmetry_space_group_name_Hall 'F -4 2 3'
_cell_length_a 6.860
_cell_length_b 6.860
_cell_length_c 6.860
_cell_angle_alpha 90.00
_cell_angle_beta 90.00
_cell_angle_gamma 90.00
loop_
_atom_site_label
_atom_site_type_symbol
_atom_site_fract_x
_atom_site_fract_y
_atom_site_fract_z
Ce1 Ce 0.000 0.000 0.000
Zn1 Zn 0.000 0.000 0.500
Pd1 Pd 0.250 0.250 0.250
Au1 Au 0.250 0.250 0.750
# M_tot: 0.5 μB per formula unit
# DOS(E_F): 21.0 states/eV per cell
# calculated formation energy: -540 meV/atom
# E: -71.36 eV/cell

No. 6
# Ce2Zn4PdAu3 | the Alexandria database | PBE | optimized geometry
data_Ce2Zn4PdAu3
_symmetry_space_group_name_H-M 'P -4 m 2'
_symmetry_Int_Tables_number 115
_cell_length_a 4.208
_cell_length_b 4.208
_cell_length_c 11.387
_cell_angle_alpha 90.00
_cell_angle_beta 90.00
_cell_angle_gamma 90.00
loop_
_symmetry_equiv_pos_as_xyz
'x,y,z'
'y,-x,-z'
'-x,-y,z'
'-y,x,-z'
'-x,y,z'
'-y,-x,-z'
'x,-y,z'
'y,x,-z'
loop_
_atom_site_label
_atom_site_type_symbol
_atom_site_fract_x
_atom_site_fract_y
_atom_site_fract_z
Ce1 Ce 0.000 0.500 0.247
Zn1 Zn 0.000 0.000 0.500
Zn2 Zn 0.000 0.500 0.869
Zn3 Zn 0.500 0.500 0.500
Pd1 Pd 0.500 0.500 0.000
Au1 Au 0.000 0.000 0.000
Au2 Au 0.000 0.500 0.644
# M_tot: 1.8 μB per formula unit
# DOS(E_F): 16.3 states/eV per cell
# calculated formation energy: -473 meV/atom
# E: -36.72 eV/cell

No. 7
# CeZrPdAu | the Alexandria database | PBE | optimized geometry
data_CeZrPdAu
_symmetry_space_group_name_H-M 'F -4 3 m'
_symmetry_Int_Tables_number 216
_symmetry_space_group_name_Hall 'F -4 2 3'
_cell_length_a 7.039
_cell_length_b 7.039
_cell_length_c 7.039
_cell_angle_alpha 90.00
_cell_angle_beta 90.00
_cell_angle_gamma 90.00
loop_
_atom_site_label
_atom_site_type_symbol
_atom_site_fract_x
_atom_site_fract_y
_atom_site_fract_z
Ce1 Ce 0.000 0.000 0.000
Zr1 Zr 0.000 0.000 0.500
Pd1 Pd 0.250 0.250 0.250
Au1 Au 0.250 0.250 0.750
# M_tot: 1.3 μB per formula unit
# DOS(E_F): 32.9 states/eV per cell
# calculated formation energy: -464 meV/atom
# E: -99.23 eV/cell

No. 8
# CePmAu2 | the Alexandria database | PBE | optimized geometry
data_CePmAu2
_symmetry_space_group_name_H-M 'F m -3 m'
_symmetry_Int_Tables_number 225
_symmetry_space_group_name_Hall '-F 4 2 3'
_cell_length_a 7.392
_cell_length_b 7.392
_cell_length_c 7.392
_cell_angle_alpha 90.00
_cell_angle_beta 90.00
_cell_angle_gamma 90.00
loop_
_atom_site_label
_atom_site_type_symbol
_atom_site_fract_x
_atom_site_fract_y
_atom_site_fract_z
Ce1 Ce 0.000 0.000 0.000
Pm1 Pm 0.000 0.000 0.500
Au1 Au 0.250 0.250 0.250
# M_tot: 1.1 μB per formula unit
# DOS(E_F): 35.6 states/eV per cell
# energy relative to the lowest polymorph listed for this composition: 0.0475 eV per atom
# calculated formation energy: -679 meV/atom
# E: -79.83 eV/cell